#a
NiHgRu after structural relaxation, computed with GGA-PBEsol.

Cell lengths 2.7844, 2.7844, 6.5225 Å; angles 90.00, 90.00, 120.00 degrees
Space group P3m1 (No. 156)
Symmetry-distinct sites (fractional):
Ni 0.0000 0.0000 0.0000
Hg 0.3333 0.6667 0.3414
Ru 0.6667 0.3333 0.7137

Values from the calculation:
Magnetic moment = 0.00 μB per cell

---

#b
NiHgRu after structural relaxation, computed with GGA-PBEsol.

Cell lengths 5.803, 5.803, 5.803 Å; angles 90.00, 90.00, 90.00 degrees
Space group F-43m (No. 216)
Symmetry-distinct sites (fractional):
Ni 0.000 0.000 0.000
Hg 0.250 0.250 0.250
Ru 0.250 0.250 0.750

Values from the calculation:
Magnetic moment = 8.52 μB per cell

---

In terms of stability, #a leads; the second structure lies 230 meV/atom higher.

---

#a
Ni2HgSe2 after structural relaxation, computed with GGA-PBEsol.

Cell lengths 3.697, 3.697, 13.965 Å; angles 90.00, 90.00, 90.00 degrees
Space group I4/mmm (No. 139)
Symmetry-distinct sites (fractional):
Ni 0.000 0.500 0.250
Hg 0.000 0.000 0.000
Se 0.000 0.000 0.351

Values from the calculation:
Magnetic moment = 0.00 μB per cell

---

#b
Ni2HgSe2 after structural relaxation, computed with GGA-PBEsol.

Cell lengths 4.667, 4.667, 7.939 Å; angles 90.00, 90.00, 90.00 degrees
Space group I4/mmm (No. 139)
Symmetry-distinct sites (fractional):
Ni 0.000 0.000 0.169
Hg 0.000 0.000 0.500
Se 0.000 0.500 0.250

Values from the calculation:
Magnetic moment = 0.00 μB per cell

---

In terms of stability, #a leads; the second structure lies 234 meV/atom higher.

---

#a
NiHgSe after structural relaxation, computed with GGA-PBEsol.

Cell lengths 3.3594, 3.3594, 5.5866 Å; angles 90.00, 90.00, 120.00 degrees
Space group P3m1 (No. 156)
Symmetry-distinct sites (fractional):
Ni 0.0000 0.0000 0.0000
Hg 0.3333 0.6667 0.3340
Se 0.6667 0.3333 0.7787

Values from the calculation:
Magnetic moment = 0.00 μB per cell

---

#b
NiHgSe after structural relaxation, computed with GGA-PBEsol.

Cell lengths 6.031, 6.031, 6.031 Å; angles 90.00, 90.00, 90.00 degrees
Space group F-43m (No. 216)
Symmetry-distinct sites (fractional):
Ni 0.000 0.000 0.000
Hg 0.250 0.250 0.750
Se 0.250 0.250 0.250

Values from the calculation:
Magnetic moment = 0.00 μB per cell

---

In terms of stability, #a leads; the second structure lies 127 meV/atom higher.

---

#a
Ni2HgTe after structural relaxation, computed with GGA-PBEsol.

Cell lengths 4.416, 4.416, 3.249 Å; angles 90.00, 90.00, 90.00 degrees
Space group P4/mmm (No. 123)
Symmetry-distinct sites (fractional):
Ni 0.000 0.500 0.000
Hg 0.000 0.000 0.500
Te 0.500 0.500 0.500

Values from the calculation:
Magnetic moment = 0.00 μB per cell

---

#b
Ni2HgTe after structural relaxation, computed with GGA-PBEsol.

Cell lengths 3.748, 3.748, 9.182 Å; angles 90.00, 90.00, 90.00 degrees
Space group I-4m2 (No. 119)
Symmetry-distinct sites (fractional):
Ni 0.000 0.000 0.000
Ni 0.000 0.500 0.250
Hg 0.000 0.500 0.750
Te 0.000 0.000 0.500

Values from the calculation:
Magnetic moment = 0.01 μB per cell

---

In terms of stability, #a leads; the second structure lies 73 meV/atom higher.

---

#a
Tl2NiHg after structural relaxation, computed with GGA-PBEsol.

Cell lengths 6.010, 3.423, 8.665 Å; angles 90.00, 103.38, 90.00 degrees
Space group C2/m (No. 12)
Symmetry-distinct sites (fractional):
Tl 0.238 0.000 0.206
Ni 0.000 0.500 0.000
Hg 0.000 0.000 0.500

Values from the calculation:
Magnetic moment = 0.00 μB per cell

---

#b
Tl2NiHg after structural relaxation, computed with GGA-PBEsol.

Cell lengths 4.306, 4.306, 9.000 Å; angles 90.00, 90.00, 90.00 degrees
Space group I-4m2 (No. 119)
Symmetry-distinct sites (fractional):
Tl 0.000 0.000 0.000
Tl 0.000 0.500 0.250
Ni 0.000 0.500 0.750
Hg 0.000 0.000 0.500

Values from the calculation:
Magnetic moment = 0.00 μB per cell

---

In terms of stability, #a leads; the second structure lies 157 meV/atom higher.

---

#a
NiHg2W after structural relaxation, computed with GGA-PBEsol.

Cell lengths 8.860, 2.845, 5.389 Å; angles 90.00, 98.18, 90.00 degrees
Space group Cm (No. 8)
Symmetry-distinct sites (fractional):
Ni 0.000 0.000 0.000
Hg 0.009 0.500 0.561
Hg 0.248 0.500 0.280
W 0.263 0.000 0.827

Values from the calculation:
Magnetic moment = 0.00 μB per cell

---

#b
NiHg2W after structural relaxation, computed with GGA-PBEsol.

Cell lengths 5.835, 8.148, 2.778 Å; angles 90.00, 90.00, 90.00 degrees
Space group Cmmm (No. 65)
Symmetry-distinct sites (fractional):
Ni 0.000 0.000 0.000
Hg 0.250 0.250 0.500
W 0.000 0.500 0.000

Values from the calculation:
Magnetic moment = 0.02 μB per cell

---

#c
NiHg2W after structural relaxation, computed with GGA-PBEsol.

Cell lengths 6.417, 6.417, 6.417 Å; angles 90.00, 90.00, 90.00 degrees
Space group F-43m (No. 216)
Symmetry-distinct sites (fractional):
Ni 0.000 0.000 0.000
Hg 0.000 0.000 0.500
Hg 0.250 0.250 0.250
W 0.250 0.250 0.750

Values from the calculation:
Magnetic moment = 3.42 μB per cell

---

#d
NiHg2W after structural relaxation, computed with GGA-PBEsol.

Cell lengths 2.872, 2.872, 8.036 Å; angles 90.00, 90.00, 90.00 degrees
Space group P4mm (No. 99)
Symmetry-distinct sites (fractional):
Ni 0.000 0.000 0.000
Hg 0.000 0.000 0.459
Hg 0.500 0.500 0.768
W 0.500 0.500 0.188

Values from the calculation:
Magnetic moment = 0.00 μB per cell

---

In terms of stability, #d leads; the second structure lies 288 meV/atom higher.

---

#a
Hg3TeO6 after structural relaxation, computed with GGA-PBEsol.

Cell lengths 13.536, 13.536, 13.536 Å; angles 90.00, 90.00, 90.00 degrees
Space group Ia-3d (No. 230)
Symmetry-distinct sites (fractional):
Hg 0.033 0.125 0.783
Te 0.000 0.000 0.000
O 0.001 0.007 0.645

Values from the calculation:
Magnetic moment = 0.00 μB per cell

---

#b
Hg3TeO6 after structural relaxation, computed with GGA-PBEsol.

Cell lengths 13.518, 13.518, 13.518 Å; angles 90.00, 90.00, 90.00 degrees
Space group Ia-3 (No. 206)
Symmetry-distinct sites (fractional):
Hg 0.042 0.125 0.706
Te 0.000 0.000 0.000
Te 0.250 0.250 0.250
O 0.005 0.006 0.355
O 0.105 0.245 0.256

Values from the calculation:
Magnetic moment = 0.00 μB per cell

---

In terms of stability, #b leads; the second structure lies 53 meV/atom higher.

---

#a
Hg3Os after structural relaxation, computed with GGA-PBEsol.

Cell lengths 4.064, 4.064, 9.000 Å; angles 90.00, 90.00, 90.00 degrees
Space group I4/mmm (No. 139)
Symmetry-distinct sites (fractional):
Hg 0.000 0.000 0.000
Hg 0.000 0.500 0.250
Os 0.000 0.000 0.500

Values from the calculation:
Magnetic moment = 1.26 μB per cell

---

#b
Hg3Os after structural relaxation, computed with GGA-PBEsol.

Cell lengths 9.3983, 9.3983, 2.9383 Å; angles 90.00, 90.00, 120.00 degrees
Space group R-3m (No. 166, hexagonal axes)
Symmetry-distinct sites (fractional):
Hg 0.0000 0.5000 0.0000
Os 0.0000 0.0000 0.0000

Values from the calculation:
Magnetic moment = 3.26 μB per cell

---

#c
Hg3Os after structural relaxation, computed with GGA-PBEsol.

Cell lengths 2.830, 4.992, 11.218 Å; angles 90.00, 90.00, 90.00 degrees
Space group Cmmm (No. 65)
Symmetry-distinct sites (fractional):
Hg 0.000 0.000 0.000
Hg 0.000 0.500 0.279
Os 0.000 0.000 0.500

Values from the calculation:
Magnetic moment = 0.02 μB per cell

---

In terms of stability, #c leads; the second structure lies 115 meV/atom higher.

---

#a
HgOs after structural relaxation, computed with GGA-PBEsol.

Cell lengths 2.8620, 2.8620, 9.2996 Å; angles 90.00, 90.00, 120.00 degrees
Space group P6_3/mmc (No. 194)
Symmetry-distinct sites (fractional):
Hg 0.0000 0.0000 0.0000
Os 0.3333 0.6667 0.2500

Values from the calculation:
Magnetic moment = 0.00 μB per cell

---

#b
HgOs after structural relaxation, computed with GGA-PBEsol.

Cell lengths 4.2188, 4.2188, 6.9073 Å; angles 90.00, 90.00, 120.00 degrees
Space group P6_3mc (No. 186)
Symmetry-distinct sites (fractional):
Hg 0.3333 0.6667 0.0000
Os 0.3333 0.6667 0.6270

Values from the calculation:
Magnetic moment = 4.13 μB per cell

---

In terms of stability, #a leads; the second structure lies 1738 meV/atom higher.